[1]
A relaxed ZrCuB crystal. Source: the Alexandria database, functional PBE.

Calculated values
**Energy of formation from the pure elements**: -296 meV per atom
**Symmetry**: Pmmm, No. 47

Cell: 3.516 3.531 6.491 Å, 90.00 90.00 90.00°
Atoms (fractional coordinates):
Zr1 0.000 0.000 0.000
Zr2 0.500 0.000 0.500
Cu1 0.000 0.500 0.315
Cu2 0.000 0.500 0.685
B1 0.500 0.500 0.131
B2 0.500 0.500 0.869

=====

[2]
A relaxed ZrCuB crystal. Source: the Alexandria database, functional PBE.

Calculated values
**Energy of formation from the pure elements**: 49 meV per atom
**Symmetry**: Pnma, No. 62

Cell: 5.381 5.161 5.899 Å, 90.00 90.00 90.00°
Atoms (fractional coordinates):
Zr1 0.120 0.250 0.155
Zr2 0.380 0.750 0.655
Zr3 0.620 0.250 0.345
Zr4 0.880 0.750 0.845
Cu1 0.201 0.250 0.696
Cu2 0.299 0.750 0.196
Cu3 0.701 0.250 0.804
Cu4 0.799 0.750 0.304
B1 0.000 0.000 0.500
B2 0.000 0.500 0.500
B3 0.500 0.000 0.000
B4 0.500 0.500 0.000

=====

[3]
A relaxed ZrCuB crystal. Source: the Alexandria database, functional PBE.

Calculated values
**Energy of formation from the pure elements**: -97 meV per atom
**Symmetry**: P6_3/mmc, No. 194

Cell: 4.269 4.269 5.075 Å, 90.00 90.00 120.00°
Atoms (fractional coordinates):
Zr1 0.333 0.667 0.250
Zr2 0.667 0.333 0.750
Cu1 0.000 0.000 0.000
Cu2 0.000 0.000 0.500
B1 0.333 0.667 0.750
B2 0.667 0.333 0.250

=====

[4]
A relaxed ZrCuB crystal. Source: the Alexandria database, functional PBE.

Calculated values
**Energy of formation from the pure elements**: -234 meV per atom
**Symmetry**: Cm, No. 8

Cell: 4.661 4.661 5.647 Å, 94.94 94.94 44.46°
Atoms (fractional coordinates):
Zr1 0.000 0.000 0.000
Zr2 0.689 0.689 0.632
Cu1 0.298 0.298 0.277
Cu2 0.973 0.973 0.478
B1 0.282 0.282 0.907
B2 0.411 0.411 0.707

=====

[5]
A relaxed ZrCuB crystal. Source: the Alexandria database, functional PBE.

Calculated values
**Energy of formation from the pure elements**: -221 meV per atom
**Symmetry**: P2_1/m, No. 11

Cell: 4.023 3.214 6.367 Å, 90.00 99.45 90.00°
Atoms (fractional coordinates):
Zr1 0.208 0.250 0.346
Zr2 0.792 0.750 0.654
Cu1 0.362 0.250 0.848
Cu2 0.638 0.750 0.152
B1 0.093 0.750 0.031
B2 0.907 0.250 0.969

=====

[6]
A relaxed ZrCuB crystal. Source: the Alexandria database, functional PBE.

Calculated values
**Energy of formation from the pure elements**: -218 meV per atom
**Symmetry**: Pm, No. 6

Cell: 3.775 3.403 6.648 Å, 90.00 97.59 90.00°
Atoms (fractional coordinates):
Zr1 0.000 0.000 0.000
Zr2 0.114 0.000 0.489
Cu1 0.464 0.500 0.828
Cu2 0.547 0.500 0.222
B1 0.632 0.500 0.530
B2 0.944 0.500 0.728

=====

[7]
A relaxed ZrCuB crystal. Source: the Alexandria database, functional PBE.

Calculated values
**Energy of formation from the pure elements**: -229 meV per atom
**Symmetry**: Amm2, No. 38

Cell: 3.366 3.704 3.704 Å, 59.87 90.00 90.00°
Atoms (fractional coordinates):
Zr1 0.000 0.000 0.000
Cu1 0.500 0.667 0.667
B1 0.500 0.334 0.334

=====

[8]
A relaxed ZrCuB crystal. Source: the Alexandria database, functional PBE.

Calculated values
**Energy of formation from the pure elements**: -240 meV per atom
**Symmetry**: Cm, No. 8

Cell: 7.090 7.090 3.211 Å, 102.99 102.99 31.56°
Atoms (fractional coordinates):
Zr1 0.000 0.000 0.000
Zr2 0.239 0.239 0.241
Cu1 0.435 0.435 0.436
Cu2 0.626 0.626 0.627
B1 0.797 0.797 0.799
B2 0.857 0.857 0.358

=====

[9]
A relaxed ZrCuB crystal. Source: the Alexandria database, functional PBE.

Calculated values
**Energy of formation from the pure elements**: -331 meV per atom
**Symmetry**: Cm, No. 8

Cell: 8.037 8.037 3.429 Å, 90.00 90.00 157.54°
Atoms (fractional coordinates):
Zr1 0.159 0.841 0.000
Zr2 0.841 0.159 0.000
Cu1 0.014 0.014 0.515
Cu2 0.513 0.513 0.017
B1 0.273 0.727 0.500
B2 0.727 0.273 0.500

=====

[10]
A relaxed ZrCuB crystal. Source: the Alexandria database, functional PBE.

Calculated values
**Energy of formation from the pure elements**: -56 meV per atom
**Symmetry**: P4/nmm, No. 129

Cell: 3.772 3.772 5.766 Å, 90.00 90.00 90.00°
Atoms (fractional coordinates):
Zr1 0.250 0.250 0.196
Zr2 0.750 0.750 0.804
Cu1 0.250 0.250 0.682
Cu2 0.750 0.750 0.318
B1 0.250 0.750 0.500
B2 0.750 0.250 0.500

=====

[11]
A relaxed ZrCuB crystal. Source: the Alexandria database, functional PBE.

Calculated values
**Energy of formation from the pure elements**: -349 meV per atom
**Symmetry**: C2/m, No. 12

Cell: 5.720 5.720 4.742 Å, 106.72 106.72 32.52°
Atoms (fractional coordinates):
Zr1 0.132 0.132 0.304
Zr2 0.868 0.868 0.696
Cu1 0.411 0.411 0.246
Cu2 0.589 0.589 0.754
B1 0.238 0.238 0.903
B2 0.762 0.762 0.097

=====

[12]
A relaxed ZrCuB crystal. Source: the Alexandria database, functional PBE.

Calculated values
**Energy of formation from the pure elements**: -260 meV per atom
**Symmetry**: Imma, No. 74

Cell: 5.211 5.211 5.211 Å, 142.22 87.07 105.11°
Atoms (fractional coordinates):
Zr1 0.000 0.000 0.000
Zr2 0.500 0.000 0.500
Cu1 0.378 0.628 0.750
Cu2 0.622 0.372 0.250
B1 0.049 0.299 0.750
B2 0.951 0.701 0.250

=====

- energy of formation from the pure elements of number 3 (ZrCuB)?
  -97 meV per atom

=====

- Number 4 is which compound?
  ZrCuB